(A)
Density functional theory data (PBE) for an optimized crystal structure of KVAs.

a b c (Å): 3.9239 3.9239 10.9760
angles (deg): 90.00 90.00 90.00
Each line ends with the local moment (μB).
Fractional positions:
As  0.0000  0.5000  0.3567  0.00
As  0.5000  0.0000  0.6433  0.00
K  0.0000  0.5000  0.8030  0.00
K  0.5000  0.0000  0.1970  0.00
V  0.0000  0.0000  0.5000  0.41
V  0.5000  0.5000  0.5000  0.41

Results
The size of the total moment comes out at 0.98 μB per cell. The calculated volume is 169.00 Å³ per cell. Its space group is No. 129.

=====

(B)
Density functional theory data (PBE) for an optimized crystal structure of KVAs.

a b c (Å): 4.4606 4.4606 9.3594
angles (deg): 104.80 104.80 85.86
Fractional positions:
V  0.8370  0.8370  0.5000
V  0.1630  0.1630  0.5000
K  0.6722  0.6722  0.8442
K  0.3278  0.3278  0.1558
As  0.1227  0.1227  0.7454
As  0.8773  0.8773  0.2546

Results
The size of the total moment comes out at 0.00 μB per cell. The calculated volume is 174.06 Å³ per cell. Its space group is No. 69.

=====

On energetic grounds, (A) is preferred over the next structure by 48.0 kJ/mol of atoms.

=====

(A)
Density functional theory data (PBE) for an optimized crystal structure of KAs3W.

a b c (Å): 5.0230 5.0230 5.0230
angles (deg): 90.00 90.00 90.00
Fractional positions:
As  0.0000  0.5000  0.0000
As  0.0000  0.0000  0.5000
As  0.5000  0.0000  0.0000
K  0.0000  0.0000  0.0000
W  0.5000  0.5000  0.5000

Results
The size of the total moment comes out at 0.00 μB per cell. The calculated volume is 126.73 Å³ per cell. Its space group is No. 221.

=====

(B)
Density functional theory data (PBE) for an optimized crystal structure of KAs3W.

a b c (Å): 4.9986 4.9986 4.9986
angles (deg): 90.00 90.00 90.00
Fractional positions:
As  0.0000  0.5000  0.0000
As  0.0000  0.0000  0.5000
As  0.5000  0.0000  0.0000
K  0.5000  0.5000  0.5000
W  0.0000  0.0000  0.0000

Results
The size of the total moment comes out at 0.00 μB per cell. The calculated volume is 124.90 Å³ per cell. Its space group is No. 221.

=====

On energetic grounds, (B) is preferred over the next structure by 242.6 kJ/mol of atoms.

=====

(A)
Density functional theory data (PBE) for an optimized crystal structure of KYAs3.

a b c (Å): 5.5021 5.5021 5.5021
angles (deg): 90.00 90.00 90.00
Fractional positions:
Y  0.0000  0.0000  0.0000
As  0.0000  0.5000  0.0000
As  0.0000  0.0000  0.5000
As  0.5000  0.0000  0.0000
K  0.5000  0.5000  0.5000

Results
The size of the total moment comes out at 0.00 μB per cell. The calculated volume is 166.57 Å³ per cell. Its space group is No. 221.

=====

(B)
Density functional theory data (PBE) for an optimized crystal structure of KYAs3.

a b c (Å): 5.2198 5.2198 5.2198
angles (deg): 90.00 90.00 90.00
Fractional positions:
Y  0.5000  0.5000  0.5000
As  0.0000  0.5000  0.0000
As  0.0000  0.0000  0.5000
As  0.5000  0.0000  0.0000
K  0.0000  0.0000  0.0000

Results
The size of the total moment comes out at 0.00 μB per cell. The calculated volume is 142.22 Å³ per cell. Its space group is No. 221.

=====

On energetic grounds, (A) is preferred over the next structure by 94.6 kJ/mol of atoms.

=====

(A)
Density functional theory data (PBE) for an optimized crystal structure of KZnAs3.

a b c (Å): 5.0287 5.0287 5.0287
angles (deg): 90.00 90.00 90.00
Fractional positions:
K  0.5000  0.5000  0.5000
As  0.0000  0.5000  0.0000
As  0.0000  0.0000  0.5000
As  0.5000  0.0000  0.0000
Zn  0.0000  0.0000  0.0000

Results
The size of the total moment comes out at 0.00 μB per cell. The calculated volume is 127.16 Å³ per cell. Its space group is No. 221.

=====

(B)
Density functional theory data (PBE) for an optimized crystal structure of KZnAs3.

a b c (Å): 5.5028 5.5028 5.5028
angles (deg): 90.00 90.00 90.00
Fractional positions:
K  0.0000  0.0000  0.0000
As  0.0000  0.5000  0.0000
As  0.0000  0.0000  0.5000
As  0.5000  0.0000  0.0000
Zn  0.5000  0.5000  0.5000

Results
The size of the total moment comes out at 0.00 μB per cell. The calculated volume is 166.63 Å³ per cell. Its space group is No. 221.

=====

On energetic grounds, (A) is preferred over the next structure by 126.1 kJ/mol of atoms.

=====

(A)
Density functional theory data (PBE) for an optimized crystal structure of KZrAs2.

a b c (Å): 5.0221 5.0221 5.0221
angles (deg): 60.00 60.00 60.00
Fractional positions:
As  0.2500  0.2500  0.2500
As  0.7500  0.7500  0.7500
K  0.0000  0.0000  0.0000
Zr  0.5000  0.5000  0.5000

Results
The size of the total moment comes out at 0.00 μB per cell. The calculated volume is 89.56 Å³ per cell. Its space group is No. 225.

=====

(B)
Density functional theory data (PBE) for an optimized crystal structure of KZrAs2.

a b c (Å): 3.6726 3.6726 8.7584
angles (deg): 90.00 90.00 90.00
Fractional positions:
As  0.0000  0.0000  0.8493
As  0.5000  0.5000  0.2362
K  0.0000  0.0000  0.4721
Zr  0.5000  0.5000  0.9424

Results
The size of the total moment comes out at 0.00 μB per cell. The calculated volume is 118.13 Å³ per cell. Its space group is No. 99.

=====

On energetic grounds, (B) is preferred over the next structure by 28.2 kJ/mol of atoms.

=====

(A)
Density functional theory data (PBE) for an optimized crystal structure of KZrAs2.

a b c (Å): 4.9849 4.9849 4.9849
angles (deg): 60.00 60.00 60.00
Fractional positions:
As  0.0000  0.0000  0.0000
As  0.2500  0.2500  0.2500
K  0.5000  0.5000  0.5000
Zr  0.7500  0.7500  0.7500

Results
The size of the total moment comes out at 0.00 μB per cell. The calculated volume is 87.59 Å³ per cell. Its space group is No. 216.

=====

(B)
Density functional theory data (PBE) for an optimized crystal structure of KZrAs2.

a b c (Å): 6.2782 6.2782 9.1975
angles (deg): 70.04 70.04 90.00
Fractional positions:
As  0.8706  0.1250  0.2500
As  0.8794  0.6250  0.2500
As  0.3750  0.1294  0.7500
As  0.8750  0.1206  0.7500
K  0.5000  0.5000  0.0000
K  0.2500  0.7500  0.5000
Zr  0.0000  0.0000  0.0000
Zr  0.7500  0.2500  0.5000

Results
The size of the total moment comes out at 0.00 μB per cell. The calculated volume is 317.51 Å³ per cell. Its space group is No. 122.

=====

On energetic grounds, (B) is preferred over the next structure by 70.1 kJ/mol of atoms.

=====

(A)
Density functional theory data (PBE) for an optimized crystal structure of KZrAs2.

a b c (Å): 3.3472 3.3472 8.6232
angles (deg): 90.00 90.00 101.83
Fractional positions:
As  0.0000  0.0000  0.9568
As  0.0000  0.0000  0.5432
K  0.5000  0.5000  0.2500
Zr  0.5000  0.5000  0.7500

Results
The size of the total moment comes out at 0.00 μB per cell. The calculated volume is 94.56 Å³ per cell. Its space group is No. 65.

=====

(B)
Density functional theory data (PBE) for an optimized crystal structure of KZrAs2.

a b c (Å): 3.8343 3.8343 8.4907
angles (deg): 77.03 77.03 59.81
Fractional positions:
As  0.9834  0.9834  0.0489
As  0.5166  0.5166  0.4511
K  0.7500  0.7500  0.7500
Zr  0.2500  0.2500  0.2500

Results
The size of the total moment comes out at 0.00 μB per cell. The calculated volume is 104.22 Å³ per cell. Its space group is No. 12.

=====

(C)
Density functional theory data (PBE) for an optimized crystal structure of KZrAs2.

a b c (Å): 8.8106 8.8106 4.0071
angles (deg): 103.15 103.15 20.21
Fractional positions:
As  0.9281  0.9281  0.1780
As  0.7213  0.7213  0.4716
K  0.5576  0.5576  0.8073
Zr  0.2929  0.2929  0.0431

Results
The size of the total moment comes out at 0.00 μB per cell. The calculated volume is 104.57 Å³ per cell. Its space group is No. 44.

=====

On energetic grounds, (B) is preferred over the next structure by 6.0 kJ/mol of atoms.

=====

(A)
Density functional theory data (PBE) for an optimized crystal structure of KZrAs3.

a b c (Å): 5.1201 5.1201 5.1201
angles (deg): 90.00 90.00 90.00
Fractional positions:
As  0.0000  0.5000  0.0000
As  0.0000  0.0000  0.5000
As  0.5000  0.0000  0.0000
K  0.0000  0.0000  0.0000
Zr  0.5000  0.5000  0.5000

Results
The size of the total moment comes out at 0.00 μB per cell. The calculated volume is 134.22 Å³ per cell. Its space group is No. 221.

=====

(B)
Density functional theory data (PBE) for an optimized crystal structure of KZrAs3.

a b c (Å): 5.2662 5.2662 5.2662
angles (deg): 90.00 90.00 90.00
Fractional positions:
As  0.0000  0.5000  0.0000
As  0.0000  0.0000  0.5000
As  0.5000  0.0000  0.0000
K  0.5000  0.5000  0.5000
Zr  0.0000  0.0000  0.0000

Results
The size of the total moment comes out at 0.00 μB per cell. The calculated volume is 146.05 Å³ per cell. Its space group is No. 221.

=====

On energetic grounds, (B) is preferred over the next structure by 163.2 kJ/mol of atoms.

=====

(A)
Density functional theory data (PBE) for an optimized crystal structure of La3As.

a b c (Å): 4.8457 4.8458 4.8442
angles (deg): 90.00 90.00 89.97
Fractional positions:
As  0.0000  0.0000  0.0000
La  0.0000  0.5000  0.5000
La  0.5000  0.0000  0.5000
La  0.5000  0.5000  0.0000

Results
The size of the total moment comes out at 0.00 μB per cell. The calculated volume is 113.75 Å³ per cell. Its space group is No. 221.

=====

(B)
Density functional theory data (PBE) for an optimized crystal structure of La3As.

a b c (Å): 5.4558 5.4558 5.4558
angles (deg): 60.00 60.00 60.00
Each line ends with the local moment (μB).
Fractional positions:
As  0.0000  0.0000  0.0000  -0.01
La  0.2500  0.2500  0.2500  0.09
La  0.5000  0.5000  0.5000  0.21
La  0.7500  0.7500  0.7500  0.09

Results
The size of the total moment comes out at 0.65 μB per cell. The calculated volume is 114.83 Å³ per cell. Its space group is No. 225.

=====

(C)
Density functional theory data (PBE) for an optimized crystal structure of La3As.

a b c (Å): 7.0827 7.0827 5.2765
angles (deg): 90.00 90.00 120.00
Fractional positions:
La  0.8203  0.6406  0.2500
La  0.3594  0.1797  0.2500
La  0.8203  0.1797  0.2500
La  0.1797  0.3594  0.7500
La  0.6406  0.8203  0.7500
La  0.1797  0.8203  0.7500
As  0.3333  0.6667  0.2500
As  0.6667  0.3333  0.7500

Results
The size of the total moment comes out at 0.00 μB per cell. The calculated volume is 229.23 Å³ per cell. Its space group is No. 194.

=====

(D)
Density functional theory data (PBE) for an optimized crystal structure of La3As.

a b c (Å): 7.1451 7.1451 7.1451
angles (deg): 148.19 138.49 53.23
Fractional positions:
As  0.0000  0.0000  0.0000
La  0.8056  0.3056  0.5000
La  0.5000  0.5000  0.0000
La  0.1944  0.6944  0.5000

Results
The size of the total moment comes out at 0.00 μB per cell. The calculated volume is 126.68 Å³ per cell. Its space group is No. 71.

=====

On energetic grounds, (D) is preferred over the next structure by 0.9 kJ/mol of atoms.

=====

(A)
Density functional theory data (PBE) for an optimized crystal structure of La3As.

a b c (Å): 6.1165 6.1165 6.1165
angles (deg): 134.32 134.32 66.59
Fractional positions:
As  0.0000  0.0000  0.0000
La  0.2500  0.7500  0.5000
La  0.5000  0.5000  0.0000
La  0.7500  0.2500  0.5000

Results
The size of the total moment comes out at 0.00 μB per cell. The calculated volume is 115.27 Å³ per cell. Its space group is No. 139.

=====

(B)
Density functional theory data (PBE) for an optimized crystal structure of La3As.

a b c (Å): 6.1776 6.1776 6.1776
angles (deg): 116.01 116.01 116.01
Fractional positions:
As  0.0000  0.0000  0.0000
La  0.5000  0.0000  0.5000
La  0.5000  0.5000  0.0000
La  0.0000  0.5000  0.5000

Results
The size of the total moment comes out at 0.00 μB per cell. The calculated volume is 118.96 Å³ per cell. Its space group is No. 166.

=====

(C)
Density functional theory data (PBE) for an optimized crystal structure of La3As.

a b c (Å): 10.1146 10.1146 10.1146
angles (deg): 23.21 23.21 23.21
Fractional positions:
As  0.0000  0.0000  0.0000
La  0.7289  0.7289  0.7289
La  0.5000  0.5000  0.5000
La  0.2711  0.2711  0.2711

Results
The size of the total moment comes out at 0.00 μB per cell. The calculated volume is 141.06 Å³ per cell. Its space group is No. 166.

=====

(D)
Density functional theory data (PBE) for an optimized crystal structure of La3As.

a b c (Å): 6.2006 6.2006 6.2006
angles (deg): 142.57 115.30 77.21
Fractional positions:
As  0.9233  0.0000  0.9233
La  0.5867  0.5000  0.0867
La  0.9701  0.3085  0.6616
La  0.3532  0.6915  0.6616

Results
The size of the total moment comes out at 0.00 μB per cell. The calculated volume is 127.95 Å³ per cell. Its space group is No. 44.

=====

On energetic grounds, (D) is preferred over the next structure by 1.2 kJ/mol of atoms.

=====

(A)
Density functional theory data (PBE) for an optimized crystal structure of La3As.

a b c (Å): 5.5323 4.0451 5.5946
angles (deg): 80.94 90.00 90.00
Fractional positions:
As  0.0000  0.0000  0.0000
La  0.5000  0.8279  0.7838
La  0.0000  0.5000  0.5000
La  0.5000  0.1721  0.2162

Results
The size of the total moment comes out at 0.00 μB per cell. The calculated volume is 123.64 Å³ per cell. Its space group is No. 10.

=====

(B)
Density functional theory data (PBE) for an optimized crystal structure of La3As.

a b c (Å): 10.5358 10.5358 10.5358
angles (deg): 153.76 153.76 37.45
Fractional positions:
La  0.0000  0.5000  0.5000
La  0.5000  0.0000  0.5000
La  0.7500  0.2500  0.5000
La  0.2500  0.7500  0.5000
La  0.8747  0.8747  0.0000
La  0.1253  0.1253  0.0000
As  0.6215  0.6215  0.0000
As  0.3785  0.3785  0.0000

Results
The size of the total moment comes out at 0.00 μB per cell. The calculated volume is 228.25 Å³ per cell. Its space group is No. 139.

=====

On energetic grounds, (B) is preferred over the next structure by 8.3 kJ/mol of atoms.

=====

(A)
Density functional theory data (PBE) for an optimized crystal structure of La3As.

a b c (Å): 4.0940 4.0940 9.7187
angles (deg): 90.00 90.00 120.00
Fractional positions:
As  0.0000  0.0000  0.0000
La  0.0000  0.0000  0.5000
La  0.6667  0.3333  0.1942
La  0.6667  0.3333  0.8058

Results
The size of the total moment comes out at 0.00 μB per cell. The calculated volume is 141.07 Å³ per cell. Its space group is No. 187.

=====

(B)
Density functional theory data (PBE) for an optimized crystal structure of La3As.

a b c (Å): 4.0415 5.0534 5.8040
angles (deg): 90.00 90.00 90.00
Fractional positions:
As  0.0000  0.0000  0.9888
La  0.5000  0.0000  0.4655
La  0.5000  0.5000  0.8997
La  0.0000  0.5000  0.3127

Results
The size of the total moment comes out at 0.00 μB per cell. The calculated volume is 118.54 Å³ per cell. Its space group is No. 25.

=====

On energetic grounds, (A) is preferred over the next structure by 3.2 kJ/mol of atoms.